Entry 1:
Material: LiYOs2
Method: DFT, GGA-PBE
State: optimized geometry

Properties
Total magnetization ... 0.00 μB/f.u.
DFT formation energy ... 0.1955 eV/atom

abc: 4.290 2.881 5.482
angles: 77.70 90.00 90.00
Positions (direct):
Li 0.500 0.885 0.761
Os 0.000 0.875 0.028
Os 0.500 0.245 0.182
Y 0.000 0.495 0.529


Entry 2:
Material: YAsBr2
Method: DFT, GGA-PBE
State: optimized geometry

Properties
Total magnetization ... 0.00 μB/f.u.
Formation energy without anion corrections ... -1.029 eV per atom

abc: 5.354 5.354 7.224
angles: 81.08 81.08 43.94
Positions (direct):
Y 0.464 0.464 0.398
As 0.171 0.171 0.355
Br 0.034 0.034 0.088
Br 0.831 0.831 0.660


Entry 3:
Material: K2SrCl4
Method: DFT, GGA-PBE
State: optimized geometry

Properties
Total magnetization ... 0.00 μB/f.u.
Formation energy without anion corrections ... -2.106 eV per atom

abc: 5.648 5.648 9.057
angles: 71.83 71.83 90.00
Positions (direct):
Sr 0.000 0.000 0.000
K 0.359 0.359 0.283
K 0.641 0.641 0.717
Cl 0.175 0.175 0.650
Cl 0.825 0.825 0.350
Cl 0.000 0.500 0.000
Cl 0.500 0.000 0.000


Entry 4:
Material: TlRe2Bi
Method: DFT, GGA-PBE
State: optimized geometry

Properties
Total magnetization ... 0.00 μB/f.u.
DFT formation energy ... 1.3021 eV/atom

abc: 4.757 4.757 4.757
angles: 60.00 60.00 60.00
Positions (direct):
Re 0.250 0.250 0.250
Re 0.750 0.750 0.750
Tl 0.000 0.000 0.000
Bi 0.500 0.500 0.500


Entry 5:
Material: MgCrFe2
Method: DFT, GGA-PBE
State: optimized geometry

Properties
Total magnetization ... 0.01 μB/f.u.
DFT formation energy ... 0.4478 eV/atom

abc: 4.159 4.159 4.955
angles: 87.27 87.27 35.76
Positions (direct):
Cr 0.250 0.250 0.250
Fe 0.004 0.004 0.039
Fe 0.496 0.496 0.461
Mg 0.750 0.750 0.750


Entry 6:
Material: K2LiCd
Method: DFT, GGA-PBE
State: optimized geometry

Properties
Total magnetization ... 0.00 μB/f.u.
DFT formation energy ... 0.0769 eV/atom

abc: 6.068 6.068 6.068
angles: 122.55 122.55 85.63
Positions (direct):
Cd 0.750 0.250 0.500
K 0.000 0.000 0.000
K 0.250 0.750 0.500
Li 0.500 0.500 0.000


Entry 7:
Material: Dy4Pt2C
Method: DFT, GGA-PBE
State: optimized geometry

Properties
Total magnetization ... 0.00 μB/f.u.
DFT formation energy ... -0.6769 eV/atom

abc: 4.757 4.757 7.914
angles: 72.51 72.51 90.00
Positions (direct):
C 0.000 0.000 0.000
Pt 0.632 0.632 0.736
Pt 0.368 0.368 0.264
Dy 0.173 0.173 0.653
Dy 0.827 0.827 0.347
Dy 0.000 0.500 0.000
Dy 0.500 0.000 0.000


Entry 8:
Material: Na4HF3
Method: DFT, GGA-PBE
State: optimized geometry

Properties
Total magnetization ... 0.04 μB/f.u.
Final energy ... -3.8758 eV per atom

abc: 4.716 4.716 4.716
angles: 90.00 90.00 90.00
Positions (direct):
Na 0.500 0.000 0.000
Na 0.000 0.500 0.000
Na 0.000 0.000 0.500
Na 0.500 0.500 0.500
H 0.000 0.000 0.000
F 0.000 0.500 0.500
F 0.500 0.000 0.500
F 0.500 0.500 0.000


Entry 9:
Material: Ba2Li2Zn
Method: DFT, GGA-PBE
State: optimized geometry

Properties
Total magnetization ... 0.00 μB/f.u.
DFT formation energy ... -0.0112 eV/atom

abc: 4.133 4.133 10.759
angles: 78.93 78.93 90.00
Positions (direct):
Zn 0.000 0.000 0.000
Ba 0.405 0.405 0.191
Ba 0.595 0.595 0.809
Li 0.750 0.250 0.500
Li 0.250 0.750 0.500


Entry 10:
Material: Ba3CdGe
Method: DFT, GGA-PBE
State: optimized geometry

Properties
Total magnetization ... 0.00 μB/f.u.
DFT formation energy ... -0.1325 eV/atom

abc: 6.438 6.438 6.438
angles: 90.00 90.00 90.00
Positions (direct):
Ge 0.000 0.000 0.000
Ba 0.000 0.500 0.000
Ba 0.000 0.000 0.500
Ba 0.500 0.000 0.000
Cd 0.500 0.500 0.500


Entry 11:
Material: LiTh2BRh6
Method: DFT, GGA-PBE
State: optimized geometry

Properties
Total magnetization ... 0.00 μB/f.u.
DFT formation energy ... -0.6916 eV/atom

abc: 6.113 6.112 8.635
angles: 90.00 90.00 90.00
Positions (direct):
Li 0.000 0.749 0.500
Li 0.500 0.251 0.000
Th 0.500 0.750 0.250
Th 0.000 0.250 0.750
Th 0.500 0.750 0.750
Th 0.000 0.250 0.250
B 0.500 0.250 0.500
B 0.000 0.750 0.000
Rh 0.500 0.250 0.260
Rh 0.500 0.250 0.740
Rh 0.000 0.750 0.240
Rh 0.000 0.750 0.760
Rh 0.259 0.009 0.500
Rh 0.741 0.009 0.500
Rh 0.260 0.490 0.500
Rh 0.740 0.490 0.500
Rh 0.760 0.510 0.000
Rh 0.240 0.510 0.000
Rh 0.241 0.991 0.000
Rh 0.759 0.991 0.000


Entry 12:
Material: LaTe5
Method: DFT, GGA-PBE
State: optimized geometry

Properties
Total magnetization ... 0.00 μB/f.u.
Formation energy without anion corrections ... -0.522 eV per atom

abc: 4.472 4.532 9.811
angles: 103.35 90.00 90.00
Positions (direct):
Te 0.500 0.850 0.700
Te 0.000 0.651 0.302
Te 0.500 0.500 0.000
Te 0.000 0.349 0.698
Te 0.500 0.150 0.300
La 0.000 0.000 0.000